{"formula": "CaGdHgPb", "functional": "PBE-GGA", "state": "relaxed", "lattice": [[0.0000, 3.8427, 3.8427], [3.8427, 0.0000, 3.8427], [3.8427, 3.8427, 0.0000]], "species": ["Ca", "Gd", "Hg", "Pb"], "frac_coords": [[0.0000, 0.0000, 0.0000], [0.5000, 0.5000, 0.5000], [0.2500, 0.2500, 0.2500], [0.7500, 0.7500, 0.7500]], "rho_g_cm3": 8.85, "crystal_system": "cubic", "magmom_total_mub_per_atom": 1.80, "final_energy_ev_per_atom": -5.5470, "dos_at_fermi_per_ev_cell": 5.4, "space_group": "F-43m, No. 216"}